Entry 1:
# LiAc8Pr5 PBE optimized geometry
data_LiAc8Pr5
_cell_length_a 10.312
_cell_length_b 10.312
_cell_length_c 10.949
_cell_angle_alpha 90.00
_cell_angle_beta 90.00
_cell_angle_gamma 90.00
_symmetry_space_group_name_H-M 'I -4'
_symmetry_Int_Tables_number 82
_symmetry_space_group_name_Hall 'I -4'
loop_
_atom_site_label
_atom_site_type_symbol
_atom_site_fract_x
_atom_site_fract_y
_atom_site_fract_z
_atom_site_occupancy
Li1 Li 0.000 0.000 0.000 1
Ac1 Ac 0.068 0.173 0.345 1
Ac2 Ac 0.084 0.304 0.005 1
Pr1 Pr 0.000 0.500 0.250 1
Pr2 Pr 0.096 0.300 0.676 1
# formation energy from the elements: 0.21 eV/atom
# M_tot: 0.0 μB/cell
# DOS(E_F): 1.56 states/eV per atom

***

Entry 2:
# LiAcPr PBE optimized geometry
data_LiAcPr
_cell_length_a 3.7792
_cell_length_b 3.7792
_cell_length_c 8.6551
_cell_angle_alpha 90.00
_cell_angle_beta 90.00
_cell_angle_gamma 120.00
_symmetry_space_group_name_H-M 'P 3 m 1'
_symmetry_Int_Tables_number 156
_symmetry_space_group_name_Hall 'P 3 -2"'
loop_
_atom_site_label
_atom_site_type_symbol
_atom_site_fract_x
_atom_site_fract_y
_atom_site_fract_z
_atom_site_occupancy
Li1 Li 0.0000 0.0000 0.0000 1
Ac1 Ac 0.6667 0.3333 0.3298 1
Pr1 Pr 0.3333 0.6667 0.6851 1
# formation energy from the elements: 0.12 eV/atom
# M_tot: 0.0 μB/cell
# DOS(E_F): 1.11 states/eV per atom

***

Entry 3:
# LiAcPrRh PBE optimized geometry
data_LiAcPrRh
_cell_length_a 7.447
_cell_length_b 7.447
_cell_length_c 7.447
_cell_angle_alpha 90.00
_cell_angle_beta 90.00
_cell_angle_gamma 90.00
_symmetry_space_group_name_H-M 'F -4 3 m'
_symmetry_Int_Tables_number 216
_symmetry_space_group_name_Hall 'F -4 2 3'
loop_
_atom_site_label
_atom_site_type_symbol
_atom_site_fract_x
_atom_site_fract_y
_atom_site_fract_z
_atom_site_occupancy
Li1 Li 0.000 0.000 0.000 1
Ac1 Ac 0.250 0.250 0.250 1
Pr1 Pr 0.250 0.250 0.750 1
Rh1 Rh 0.000 0.000 0.500 1
# formation energy from the elements: -0.27 eV/atom
# M_tot: 0.0 μB/cell
# DOS(E_F): 0.97 states/eV per atom

***

Entry 4:
# LiAcPrRu PBE optimized geometry
data_LiAcPrRu
_cell_length_a 7.390
_cell_length_b 7.390
_cell_length_c 7.390
_cell_angle_alpha 90.00
_cell_angle_beta 90.00
_cell_angle_gamma 90.00
_symmetry_space_group_name_H-M 'F -4 3 m'
_symmetry_Int_Tables_number 216
_symmetry_space_group_name_Hall 'F -4 2 3'
loop_
_atom_site_label
_atom_site_type_symbol
_atom_site_fract_x
_atom_site_fract_y
_atom_site_fract_z
_atom_site_occupancy
Li1 Li 0.000 0.000 0.000 1
Ac1 Ac 0.250 0.250 0.750 1
Pr1 Pr 0.250 0.250 0.250 1
Ru1 Ru 0.000 0.000 0.500 1
# formation energy from the elements: -0.06 eV/atom
# M_tot: 0.0 μB/cell
# DOS(E_F): 0.61 states/eV per atom

***

Entry 5:
# LiAcPr2S5 PBE optimized geometry
data_LiAcPr2S5
_cell_length_a 4.081
_cell_length_b 18.911
_cell_length_c 11.408
_cell_angle_alpha 90.00
_cell_angle_beta 90.00
_cell_angle_gamma 90.00
_symmetry_space_group_name_H-M 'C m c 21'
_symmetry_Int_Tables_number 36
_symmetry_space_group_name_Hall 'C 2c -2'
loop_
_atom_site_label
_atom_site_type_symbol
_atom_site_fract_x
_atom_site_fract_y
_atom_site_fract_z
_atom_site_occupancy
Li1 Li 0.000 0.050 0.000 1
Ac1 Ac 0.000 0.295 0.537 1
Pr1 Pr 0.000 0.393 0.839 1
Pr2 Pr 0.000 0.413 0.216 1
S1 S 0.000 0.004 0.315 1
S2 S 0.000 0.133 0.537 1
S3 S 0.000 0.163 0.867 1
S4 S 0.000 0.200 0.228 1
S5 S 0.000 0.449 0.598 1
# energy relative to the elements, uncorrected: -1.8669 eV per atom
# M_tot: 0.0 μB/cell

***

Entry 6:
# LiAc4Pr3S8 PBE optimized geometry
data_LiAc4Pr3S8
_cell_length_a 8.4133
_cell_length_b 8.4133
_cell_length_c 20.3651
_cell_angle_alpha 90.00
_cell_angle_beta 90.00
_cell_angle_gamma 120.00
_symmetry_space_group_name_H-M 'R -3 m'
_symmetry_Int_Tables_number 166
_symmetry_space_group_name_Hall '-R 3 2"'
loop_
_atom_site_label
_atom_site_type_symbol
_atom_site_fract_x
_atom_site_fract_y
_atom_site_fract_z
_atom_site_occupancy
Li1 Li 0.0000 0.0000 0.0000 1
Ac1 Ac 0.0000 0.0000 0.5000 1
Ac2 Ac 0.0000 0.5000 0.5000 1
Pr1 Pr 0.0000 0.5000 0.0000 1
S1 S 0.0000 0.0000 0.2538 1
S2 S 0.0076 0.5038 0.7443 1
# energy relative to the elements, uncorrected: -1.9417 eV per atom
# M_tot: 0.0 μB/cell
# DOS(E_F): 0.66 states/eV per atom

***

Entry 7:
# LiAc2Pr3S6 PBE optimized geometry
data_LiAc2Pr3S6
_cell_length_a 7.149
_cell_length_b 12.424
_cell_length_c 7.264
_cell_angle_alpha 90.00
_cell_angle_beta 109.33
_cell_angle_gamma 90.00
_symmetry_space_group_name_H-M 'C 1 2/m 1'
_symmetry_Int_Tables_number 12
_symmetry_space_group_name_Hall '-C 2y'
loop_
_atom_site_label
_atom_site_type_symbol
_atom_site_fract_x
_atom_site_fract_y
_atom_site_fract_z
_atom_site_occupancy
Li1 Li 0.000 0.000 0.000 1
Ac1 Ac 0.000 0.334 0.000 1
Pr1 Pr 0.000 0.166 0.500 1
Pr2 Pr 0.000 0.500 0.500 1
S1 S 0.236 0.000 0.748 1
S2 S 0.245 0.161 0.253 1
# energy relative to the elements, uncorrected: -1.9309 eV per atom
# M_tot: 0.0 μB/cell
# DOS(E_F): 0.41 states/eV per atom

***

Entry 8:
# LiAc2PrS4 PBE optimized geometry
data_LiAc2PrS4
_cell_length_a 7.101
_cell_length_b 4.208
_cell_length_c 7.324
_cell_angle_alpha 90.00
_cell_angle_beta 109.89
_cell_angle_gamma 90.00
_symmetry_space_group_name_H-M 'P 1 2/m 1'
_symmetry_Int_Tables_number 10
_symmetry_space_group_name_Hall '-P 2y'
loop_
_atom_site_label
_atom_site_type_symbol
_atom_site_fract_x
_atom_site_fract_y
_atom_site_fract_z
_atom_site_occupancy
Li1 Li 0.000 0.000 0.000 1
Ac1 Ac 0.500 0.000 0.500 1
Ac2 Ac 0.500 0.500 0.000 1
Pr1 Pr 0.000 0.500 0.500 1
S1 S 0.233 0.500 0.240 1
S2 S 0.234 0.000 0.752 1
# energy relative to the elements, uncorrected: -1.8830 eV per atom
# M_tot: 0.0 μB/cell
# DOS(E_F): 0.32 states/eV per atom

***

E, record by record: -111.5 -10.4 -76.9 -81.3 -212.1 -290.3 -144.8 -46.5 eV per cell
Theoretical density, record by record: 7.21 5.81 7.68 7.83 5.10 6.36 5.87 5.89 g/cm³